[1]
{"formula": "Nd2Er2Al", "functional": "PBE", "state": "optimized geometry", "m_tot_mub_per_cell": 0.01, "relative_energy_mev_per_atom": 570, "crystal_system": "trigonal", "n_ef_per_ev_cell": 7.01, "delta_e_f_mev_per_atom": 417, "lattice_angstrom": [[4.9339, 0.0000, 0.0000], [2.4669, 4.2728, 0.0000], [2.4669, 1.4243, 8.5068]], "species": ["Al", "Nd", "Er", "Nd", "Er"], "frac_coords": [[0.0000, 0.0000, 0.0000], [0.5652, 0.5652, 0.3043], [0.3004, 0.3004, 0.0989], [0.4348, 0.4348, 0.6957], [0.6996, 0.6996, 0.9011]]}

[2]
{"formula": "NdEr6Al", "functional": "PBE", "state": "optimized geometry", "m_tot_mub_per_cell": 0.77, "crystal_system": "monoclinic", "n_ef_per_ev_cell": 10.93, "delta_e_f_mev_per_atom": 260, "lattice_angstrom": [[6.8597, 0.9673, 0.0000], [2.6545, 6.2880, 0.0000], [1.3272, 3.1440, 6.0125]], "species": ["Al", "Er", "Er", "Er", "Nd", "Er", "Er", "Er"], "frac_coords": [[0.5000, 0.5000, 0.0000], [0.7455, 0.4979, 0.5606], [0.2545, 0.5021, 0.4394], [0.7368, 0.7326, 0.0000], [0.0000, 0.0000, 0.0000], [0.2545, 0.9416, 0.5606], [0.7455, 0.0584, 0.4394], [0.2632, 0.2674, 0.0000]]}

What is the formula in the first record? Nd2Er2Al

What is the formula in the first record? Nd2Er2Al